Entry P
DFT (PBE) results for a relaxed La2Hg2Pd crystal.

a = 4.035 Å, b = 4.035 Å, c = 17.556 Å
α = 90.00°, β = 90.00°, γ = 90.00°
Space group I4/mmm (No. 139)
One atom of each set of equivalent atoms:
La 0.000 0.000 0.092
Hg 0.000 0.500 0.250
Pd 0.000 0.000 0.500

Output
Crystal system: tetragonal

Entry Q
DFT (PBE) results for a relaxed La2Hg2Pd crystal.

a = 7.793 Å, b = 7.793 Å, c = 4.932 Å
α = 90.00°, β = 90.00°, γ = 90.00°
Space group P4/mbm (No. 127)
One atom of each set of equivalent atoms:
La 0.165 0.335 0.000
Hg 0.142 0.642 0.500
Pd 0.000 0.000 0.000

Output
Crystal system: tetragonal

Entry R
DFT (PBE) results for a relaxed La2Hg2Pd crystal.

a = 7.598 Å, b = 7.598 Å, c = 4.705 Å
α = 90.00°, β = 90.00°, γ = 90.00°
Space group P4/mbm (No. 127)
One atom of each set of equivalent atoms:
La 0.165 0.335 0.000
Hg 0.140 0.640 0.500
Pd 0.000 0.000 0.500

Output
Crystal system: tetragonal

Question: which arrangement is favored energetically? Ranking from most to least stable: entry R, entry Q, entry P.